Record 1
This record from Alexandria via LeMat-Bulk describes a geometry-optimized NaIn3 structure. The functional is PBE.

- Crystal system: orthorhombic
- Volume: 26.850 A^3/atom
- Total magnetization: 0.00 μB/f.u.
- E_form: -0.062 eV/atom
- Space-group type: Imm2

Cell lengths 3.3726, 5.9523, 6.3501 Å; angles 117.95, 105.40, 90.00 degrees
With the nearest neighbours (Å) after each atom.
Sites, in units of the cell vectors:
In  0.7515  0.0768  0.5029  9 In 3.27-3.42, 3 Na 3.28-3.35
In  0.5000  0.5120  0.0000  8 In 3.27-3.37, 4 Na 3.38-3.46
In  0.2485  0.5738  0.4971  9 In 3.27-3.42, 3 Na 3.28-3.35
Na  0.0000  0.0040  0.0000  10 In 3.28-3.46, 2 Na 3.37

---

Record 2
This record from Alexandria via LeMat-Bulk describes a geometry-optimized Ba3Pu2PbO9 structure. The functional is PBE.

- Crystal system: trigonal
- Formation energy (no corrections): -2.59 eV per atom
- Volume: 17.618 A^3/atom
- Total magnetization: 6.00 μB/f.u.
- Space-group type: P-3m1

Cell lengths 6.2873, 6.2873, 7.7196 Å; angles 90.00, 90.00, 120.00 degrees
With the nearest neighbours (Å) after each atom.
Sites, in units of the cell vectors:
Pu  0.3333  0.6667  0.1572  6 O 2.09-2.18
Pu  0.6667  0.3333  0.8428  6 O 2.09-2.18
O  0.1785  0.3569  0.3168  1 Pu 2.09
O  0.5000  0.5000  0.0000  2 Pu 2.18
O  0.6431  0.8215  0.3168  1 Pu 2.09
O  0.3569  0.1785  0.6832  1 Pu 2.09
O  0.1785  0.8215  0.3168  1 Pu 2.09
O  0.8215  0.6431  0.6832  1 Pu 2.09
O  0.5000  0.0000  0.0000  2 Pu 2.18
O  0.8215  0.1785  0.6832  1 Pu 2.09
O  0.0000  0.5000  0.0000  2 Pu 2.18
Ba  0.3333  0.6667  0.6496  12 O 3.07-3.26
Ba  0.0000  0.0000  0.0000  12 O 3.12-3.14
Ba  0.6667  0.3333  0.3504  12 O 3.07-3.26
Pb  0.0000  0.0000  0.5000  6 O 2.40

---

Record 3
This record from Alexandria via LeMat-Bulk describes a geometry-optimized HoErScTl structure. The functional is PBE.

- Crystal system: orthorhombic
- Volume: 26.408 A^3/atom
- Total magnetization: 1.18 μB/f.u.
- E_form: -0.169 eV/atom
- Space-group type: Pmmm
- Polymorph energy (0 for the lowest one): 0.000 eV per atom

Cell lengths 4.7016, 4.7353, 4.7447 Å; angles 90.00, 90.00, 90.00 degrees
With the nearest neighbours (Å) after each atom.
Sites, in units of the cell vectors:
Sc  0.0000  0.0000  0.0000  4 Ho 3.34, 4 Er 3.34, 4 Tl 3.35
Ho  0.5000  0.5000  0.0000  4 Sc 3.34, 4 Tl 3.34, 4 Er 3.35
Er  0.5000  0.0000  0.5000  4 Tl 3.34, 4 Sc 3.34, 4 Ho 3.35
Tl  0.0000  0.5000  0.5000  4 Er 3.34, 4 Ho 3.34, 4 Sc 3.35

---

Record 4
This record from Alexandria via LeMat-Bulk describes a geometry-optimized K2CoMo structure. The functional is PBE.

- Crystal system: cubic
- Volume: 33.415 A^3/atom
- Total magnetization: 6.91 μB/f.u.
- E_form: 1.900 eV/atom
- Space-group type: Fm-3m
- Polymorph energy (0 for the lowest one): 1.097 eV per atom

Cell lengths 5.7390, 5.7390, 5.7390 Å; angles 60.00, 60.00, 60.00 degrees
With the nearest neighbours (Å) after each atom.
Sites, in units of the cell vectors:
K  0.7500  0.7500  0.7500  4 Mo 3.51, 4 Co 3.51
K  0.2500  0.2500  0.2500  4 Mo 3.51, 4 Co 3.51
Mo  0.5000  0.5000  0.5000  8 K 3.51
Co  0.0000  0.0000  0.0000  8 K 3.51

---

no.,uncorrected energy (eV per atom)
1,-2.4452
2,-8.1106
3,-4.6291
4,-3.1331